DFT (GGA-PBE) results for ScTa2Ru after structural relaxation.

Lattice parameters (Å, degrees): 3.018 4.380 5.401 90.00 90.00 90.00
Sites, in units of the cell vectors:
Sc 0.000 0.000 0.000
Ta 0.500 0.500 0.256
Ta 0.500 0.500 0.744
Ru 0.000 0.000 0.500

## Properties
Total magnetic moment = 0.00 μB per cell
Crystal system = orthorhombic
Total DFT energy (no corrections) = -0.3587 hartree per atom
ΔH_f (0 K) = 0.07 eV per atom